Entry 1:
First-principles (PBE-GGA) data for a relaxed Nb2CoRu3 crystal, as listed in the Alexandria database.

ΔE_f in meV per atom: 215

```
data_Nb2CoRu3
_chemical_formula_sum 'Nb16 Co8 Ru24'
_space_group_name_H-M_alt 'I 41/a m d'
_space_group_IT_number 141
_cell_length_a 7.922
_cell_length_b 7.922
_cell_length_c 12.328
_cell_angle_alpha 90.00
_cell_angle_beta 90.00
_cell_angle_gamma 90.00
loop_
_space_group_symop_operation_xyz
'x,y,z'
'-x,-y,-z'
'-y+1/4,x+3/4,z+1/4'
'y+1/4,-x+3/4,-z+1/4'
'-x+1/2,-y,z+1/2'
'x+1/2,y,-z+1/2'
'y+1/4,-x+1/4,z+3/4'
'-y+1/4,x+1/4,-z+3/4'
'x,-y,-z'
'-x,y,z'
'-y+1/4,-x+1/4,-z+3/4'
'y+1/4,x+1/4,z+3/4'
'-x+1/2,y,-z+1/2'
'x+1/2,-y,z+1/2'
'y+1/4,x+3/4,-z+1/4'
'-y+1/4,-x+3/4,z+1/4'
'x+1/2,y+1/2,z+1/2'
'-x+1/2,-y+1/2,-z+1/2'
'-y+3/4,x+1/4,z+3/4'
'y+3/4,-x+1/4,-z+3/4'
'-x,-y+1/2,z'
'x,y+1/2,-z'
'y+3/4,-x+3/4,z+1/4'
'-y+3/4,x+3/4,-z+1/4'
'x+1/2,-y+1/2,-z+1/2'
'-x+1/2,y+1/2,z+1/2'
'-y+3/4,-x+3/4,-z+1/4'
'y+3/4,x+3/4,z+1/4'
'-x,y+1/2,-z'
'x,-y+1/2,z'
'y+3/4,x+1/4,-z+3/4'
'-y+3/4,-x+1/4,z+3/4'
loop_
_atom_site_label
_atom_site_fract_x
_atom_site_fract_y
_atom_site_fract_z
Nb1 0.000 0.042 0.283
Co1 0.000 0.250 0.111
Ru1 0.000 0.000 0.500
Ru2 0.196 0.054 0.875
```

Entry 2:
First-principles (PBE-GGA) data for a relaxed Nb2CoRu crystal, as listed in the Alexandria database.

ΔE_f in meV per atom: 183

```
data_Nb2CoRu
_chemical_formula_sum 'Nb6 Co3 Ru3'
_space_group_name_H-M_alt 'R -3 m'
_space_group_IT_number 166
_space_group_name_Hall '-R 3 2"'
_cell_length_a 3.1190
_cell_length_b 3.1190
_cell_length_c 22.7103
_cell_angle_alpha 90.00
_cell_angle_beta 90.00
_cell_angle_gamma 120.00
loop_
_atom_site_label
_atom_site_fract_x
_atom_site_fract_y
_atom_site_fract_z
Nb1 0.0000 0.0000 0.2440
Co1 0.0000 0.0000 0.5000
Ru1 0.0000 0.0000 0.0000
```

Entry 3:
First-principles (PBE-GGA) data for a relaxed Nb2CoRu crystal, as listed in the Alexandria database.

ΔE_f in meV per atom: -106

```
data_Nb2CoRu
_chemical_formula_sum 'Nb2 Co1 Ru1'
_space_group_name_H-M_alt 'P 4/m m m'
_space_group_IT_number 123
_space_group_name_Hall '-P 4 2'
_cell_length_a 4.118
_cell_length_b 4.118
_cell_length_c 3.596
_cell_angle_alpha 90.00
_cell_angle_beta 90.00
_cell_angle_gamma 90.00
loop_
_atom_site_label
_atom_site_fract_x
_atom_site_fract_y
_atom_site_fract_z
Nb1 0.000 0.500 0.000
Co1 0.000 0.000 0.500
Ru1 0.500 0.500 0.500
```

Entry 4:
First-principles (PBE-GGA) data for a relaxed NbCoRu crystal, as listed in the Alexandria database.

Relative energy among the computed polymorphs in meV per atom: 206
ΔE_f in meV per atom: -18

```
data_NbCoRu
_chemical_formula_sum 'Nb2 Co2 Ru2'
_space_group_name_H-M_alt 'I 4 m m'
_space_group_IT_number 107
_space_group_name_Hall 'I 4 -2'
_cell_length_a 3.184
_cell_length_b 3.184
_cell_length_c 8.655
_cell_angle_alpha 90.00
_cell_angle_beta 90.00
_cell_angle_gamma 90.00
loop_
_atom_site_label
_atom_site_fract_x
_atom_site_fract_y
_atom_site_fract_z
Nb1 0.000 0.000 0.000
Co1 0.000 0.000 0.341
Ru1 0.000 0.000 0.667
```